No. 1
A plane-wave DFT calculation with PBE-GGA was carried out for BaTc2Ag after structural relaxation.

POSCAR file:
```
BaTc2Ag
1.0
-1.252 4.400 -1.785
-2.714 0.313 -4.080
-4.662 1.520 0.262
Ag Ba Tc
1 1 2
Cartesian
0.000 0.000 0.000 Ag
-4.313 3.116 -2.801 Ba
-2.157 1.558 -1.401 Tc
-6.470 4.675 -4.202 Tc
```

Summary:
* energy relative to the lowest polymorph listed for this composition: 949 meV per atom
* crystal system: cubic
* ρ: 8.75 g/cm³

No. 2
A plane-wave DFT calculation with PBE-GGA was carried out for CeDy6Er10 after structural relaxation.

POSCAR file:
```
CeDy6Er10
1.0
6.758 0.000 0.000
0.000 8.281 -4.781
0.000 0.000 9.562
Dy Er Ce
6 10 1
Cartesian
2.040 0.000 3.612 Dy
2.040 3.128 -1.806 Dy
4.718 3.128 1.806 Dy
2.040 5.153 2.975 Dy
4.718 0.000 5.950 Dy
4.718 5.153 -2.975 Dy
1.233 0.000 6.941 Er
5.525 2.270 -1.310 Er
3.379 5.521 0.000 Er
0.000 5.521 0.000 Er
0.000 2.760 4.781 Er
5.525 0.000 2.621 Er
1.233 6.011 -3.471 Er
3.379 2.760 4.781 Er
1.233 2.270 1.310 Er
5.525 6.011 3.471 Er
3.379 0.000 0.000 Ce
```

Summary:
* calculated total energy: -4.509 eV/atom
* crystal system: trigonal
* ρ: 8.65 g/cm³

No. 3
A plane-wave DFT calculation with PBE-GGA was carried out for Tl6GaSn12 after structural relaxation.

POSCAR file:
```
Tl6GaSn12
1.0
-7.082 -1.624 -4.182
4.076 -7.087 -1.854
-2.660 -2.175 7.647
Sn Tl Ga
12 6 1
Cartesian
-3.296 -5.756 3.534 Sn
-4.529 -3.460 1.777 Sn
-1.137 -7.427 -0.165 Sn
-3.321 -2.925 4.758 Sn
-2.345 -7.962 -3.147 Sn
-2.370 -5.131 -1.922 Sn
-7.386 -4.620 1.700 Sn
1.720 -6.266 -0.089 Sn
-0.444 -5.518 2.234 Sn
-4.869 -3.242 -2.829 Sn
-0.797 -7.644 4.441 Sn
-5.222 -5.368 -0.623 Sn
-2.949 -1.760 -0.602 Tl
0.195 -3.410 -0.697 Tl
-2.717 -9.127 2.213 Tl
-1.118 -2.268 2.400 Tl
-4.548 -8.618 -0.788 Tl
-5.861 -7.476 2.308 Tl
0.000 0.000 0.000 Ga
```

Summary:
* calculated total energy: -3.346 eV/atom
* crystal system: trigonal
* ρ: 7.91 g/cm³

No. 4
A plane-wave DFT calculation with PBE-GGA was carried out for BaSr2H after structural relaxation.

POSCAR file:
```
BaSr2H
1.0
-1.724 1.288 3.569
-1.807 -2.753 2.554
7.889 -1.902 6.931
Sr Ba H
2 1 1
Cartesian
6.504 -1.686 6.184 Sr
0.182 -0.700 2.774 Sr
2.177 -1.683 6.526 Ba
-2.325 -0.981 4.098 H
```

Summary:
* energy relative to the lowest polymorph listed for this composition: 98 meV per atom
* crystal system: trigonal
* ρ: 3.33 g/cm³

No. 5
A plane-wave DFT calculation with PBE-GGA was carried out for KTe2Au after structural relaxation.

POSCAR file:
```
KTe2Au
1.0
3.077 0.000 0.000
0.000 5.924 0.000
0.000 0.000 6.393
K Te Au
1 2 1
Cartesian
1.539 2.962 4.795 K
0.000 0.000 6.328 Te
0.000 0.000 3.262 Te
1.539 2.962 1.598 Au
```

Summary:
* uncorrected formation energy: -0.066 eV per atom
* crystal system: orthorhombic
* ρ: 7.00 g/cm³

No. 6
A plane-wave DFT calculation with PBE-GGA was carried out for CsTl10Bi2 after structural relaxation.

POSCAR file:
```
CsTl10Bi2
1.0
6.505 0.000 0.000
3.252 8.296 0.000
3.252 0.000 8.333
Bi Tl Cs
2 10 1
Cartesian
4.879 4.148 0.000 Bi
1.626 4.148 0.000 Bi
6.505 1.796 6.581 Tl
6.505 2.982 3.002 Tl
9.757 5.314 3.002 Tl
3.252 1.796 1.752 Tl
6.505 5.314 5.331 Tl
6.505 6.500 1.752 Tl
1.626 0.000 4.167 Tl
4.879 0.000 4.167 Tl
3.252 2.982 5.331 Tl
9.757 6.500 6.581 Tl
0.000 0.000 0.000 Cs
```

Summary:
* calculated total energy: -2.521 eV/atom
* crystal system: orthorhombic
* ρ: 9.58 g/cm³

No. 7
A plane-wave DFT calculation with PBE-GGA was carried out for SiIN2O after structural relaxation.

POSCAR file:
```
SiIN2O
1.0
4.051 0.000 0.000
0.000 4.051 0.000
0.000 0.000 4.363
O N Si I
1 2 1 1
Cartesian
0.000 0.000 0.000 O
2.026 0.000 0.000 N
0.000 2.026 0.000 N
2.026 2.026 2.182 Si
0.000 0.000 2.182 I
```

Summary:
* uncorrected formation energy: 2.278 eV per atom
* crystal system: tetragonal
* ρ: 4.61 g/cm³

No. 8
A plane-wave DFT calculation with PBE-GGA was carried out for BeIn2Hg after structural relaxation.

POSCAR file:
```
BeIn2Hg
1.0
-2.175 1.911 4.657
3.330 -1.940 3.901
0.127 3.319 -4.363
Hg In Be
1 2 1
Cartesian
-0.735 2.608 2.286 Hg
0.041 -0.001 0.306 In
0.536 -0.013 3.973 In
2.017 0.683 1.908 Be
```

Summary:
* energy relative to the lowest polymorph listed for this composition: 154 meV per atom
* crystal system: orthorhombic
* ρ: 8.01 g/cm³